Entry from Alexandria via LeMat-Bulk: an optimized crystal structure of CrFeAs2 (PBE-GGA).

Properties
**Total magnetic moment**: 0.581 μB/atom
**Relative energy among the computed polymorphs**: 369.2 meV per atom
**Formation energy**: 165 meV/atom

Lattice parameters (Å, degrees): 7.539 7.539 7.539 22.61 22.61 22.61
Positions (direct):
Fe 0.750 0.750 0.750
Cr 0.250 0.250 0.250
As 0.999 0.999 0.999
As 0.501 0.501 0.501


Entry from Alexandria via LeMat-Bulk: an optimized crystal structure of Ba2YSc (PBE-GGA).

Properties
**Total magnetic moment**: 0.018 μB/atom
**Relative energy among the computed polymorphs**: 178.7 meV per atom
**Formation energy**: 369 meV/atom

Lattice parameters (Å, degrees): 12.712 12.712 12.712 17.14 17.14 17.14
Positions (direct):
Ba 0.997 0.997 0.997
Sc 0.250 0.250 0.250
Y 0.750 0.750 0.750
Ba 0.503 0.503 0.503


Entry from Alexandria via LeMat-Bulk: an optimized crystal structure of RuPb2Cl (PBE-GGA).

Properties
**Total magnetic moment**: 0.452 μB/atom
**Relative energy among the computed polymorphs**: 190.4 meV per atom

Lattice parameters (Å, degrees): 9.850 9.850 9.850 20.01 20.01 20.01
Positions (direct):
Cl 0.773 0.773 0.773
Pb 0.232 0.232 0.232
Ru 0.493 0.493 0.493
Pb 0.002 0.002 0.002


Entry from Alexandria via LeMat-Bulk: an optimized crystal structure of Ba2NdPaSe6 (PBE-GGA).

Properties
**Electronic total energy**: -5.710 eV per atom
**Total magnetic moment**: 0.000 μB/atom

Lattice parameters (Å, degrees): 7.533 7.997 10.939 90.00 90.04 90.00
Positions (direct):
Ba 0.025 0.924 0.250
Pa 0.500 0.000 0.500
Se 0.600 0.025 0.257
Se 0.702 0.309 0.949
Pa 0.000 0.500 0.000
Nd 0.000 0.500 0.500
Se 0.686 0.294 0.553
Se 0.814 0.794 0.947
Se 0.202 0.191 0.449
Se 0.314 0.706 0.447
Se 0.186 0.206 0.053
Se 0.100 0.475 0.757
Se 0.798 0.809 0.551
Ba 0.525 0.576 0.750
Ba 0.475 0.424 0.250
Se 0.400 0.975 0.743
Nd 0.500 0.000 0.000
Se 0.298 0.691 0.051
Ba 0.975 0.076 0.750
Se 0.900 0.525 0.243


Entry from Alexandria via LeMat-Bulk: an optimized crystal structure of NaInHg3 (PBE-GGA).

Properties
**Total magnetic moment**: 0.000 μB/atom
**Relative energy among the computed polymorphs**: 0.0 meV per atom
**Formation energy**: -138 meV/atom

Lattice parameters (Å, degrees): 5.479 5.482 8.903 73.82 90.00 90.00
Positions (direct):
Na 0.250 0.067 0.173
Hg 0.250 0.470 0.372
Hg 0.750 0.530 0.628
In 0.750 0.139 0.419
Hg 0.750 0.339 0.019
Hg 0.250 0.661 0.981
Hg 0.250 0.255 0.787
Na 0.750 0.933 0.827
In 0.250 0.861 0.581
Hg 0.750 0.745 0.213


Entry from Alexandria via LeMat-Bulk: an optimized crystal structure of SmTi2Re (PBE-GGA).

Properties
**Total magnetic moment**: 0.000 μB/atom
**Formation energy**: -73 meV/atom

Lattice parameters (Å, degrees): 3.191 3.191 7.785 90.00 90.00 90.00
Positions (direct):
Ti 0.000 0.000 0.816
Sm 0.500 0.500 0.500
Ti 0.000 0.000 0.184
Re 0.500 0.500 0.000


Entry from Alexandria via LeMat-Bulk: an optimized crystal structure of Cs2RbMgBr5 (PBE-GGA).

Properties
**Electronic total energy**: -3.065 eV per atom
**Total magnetic moment**: 0.000 μB/atom

Lattice parameters (Å, degrees): 5.378 7.964 9.763 114.07 105.99 90.00
Positions (direct):
Br 0.387 0.643 0.773
Br 0.387 0.131 0.773
Cs 0.208 0.208 0.416
Br 0.613 0.869 0.227
Rb 0.000 0.500 0.000
Mg 0.500 0.000 0.000
Br 0.613 0.357 0.227
Cs 0.792 0.792 0.584
Br 0.000 0.000 0.000


Entry from Alexandria via LeMat-Bulk: an optimized crystal structure of SrPa2RhO8 (PBE-GGA).

Properties
**Electronic total energy**: -8.083 eV per atom
**Total magnetic moment**: 0.081 μB/atom

Lattice parameters (Å, degrees): 5.410 5.410 6.681 90.00 90.00 120.00
Positions (direct):
Pa 0.667 0.333 0.122
O 0.667 0.333 0.405
Rh 0.000 0.000 0.000
Sr 0.000 0.000 0.500
O 0.824 0.647 0.840
O 0.647 0.824 0.160
O 0.333 0.667 0.595
O 0.176 0.824 0.160
O 0.353 0.176 0.840
O 0.176 0.353 0.160
O 0.824 0.176 0.840
Pa 0.333 0.667 0.878


Entry from Alexandria via LeMat-Bulk: an optimized crystal structure of YHo3C8 (PBE-GGA).

Properties
**Total magnetic moment**: 0.000 μB/atom
**Relative energy among the computed polymorphs**: 312.2 meV per atom
**Formation energy**: 122 meV/atom

Lattice parameters (Å, degrees): 6.047 6.345 6.044 65.24 83.08 114.78
Positions (direct):
Ho 0.703 0.500 0.797
Ho 0.508 0.000 0.492
C 0.100 0.000 0.574
C 0.649 0.518 0.351
Y 0.995 0.000 0.005
C 0.885 0.000 0.611
C 0.389 0.000 0.115
C 0.426 0.000 0.900
Ho 0.203 0.500 0.297
C 0.131 0.482 0.869
C 0.920 0.329 0.080
C 0.591 0.671 0.409


Entry from Alexandria via LeMat-Bulk: an optimized crystal structure of Y2NbMo2 (PBE-GGA).

Properties
**Total magnetic moment**: 0.000 μB/atom
**Relative energy among the computed polymorphs**: 0.0 meV per atom
**Formation energy**: 276 meV/atom

Lattice parameters (Å, degrees): 6.691 6.691 5.034 90.00 90.00 90.00
Positions (direct):
Mo 0.631 0.131 0.000
Y 0.325 0.175 0.500
Mo 0.369 0.869 0.000
Y 0.175 0.675 0.500
Mo 0.131 0.369 0.000
Mo 0.869 0.631 0.000
Y 0.675 0.825 0.500
Nb 0.000 0.000 0.000
Y 0.825 0.325 0.500
Nb 0.500 0.500 0.000


Which formula does entry 9 have?
YHo3C8


Which value of total magnetic moment does entry 4 give?
0.000 μB/atom


Look up the total magnetic moment of the eighth one.
0.081 μB/atom


The highest total magnetic moment belongs to which entry?
CrFeAs2